(1)
Below is a geometry-optimized LiCd6Rh5 structure, with properties calculated at the PBE level.

a b c (Å): 4.5630 6.4772 13.7046
angles (deg): 90.00 90.00 90.00
Space group Immm (No. 71)
Asymmetric unit:
Li 0.0000 0.0000 0.0000 (multiplicity 2)
Cd 0.0000 0.2498 0.1678 (multiplicity 8)
Cd 0.0000 0.2503 0.5000 (multiplicity 4)
Rh 0.0000 0.0000 0.3358 (multiplicity 4)
Rh 0.0000 0.5000 0.0000 (multiplicity 2)
Rh 0.0000 0.5000 0.3359 (multiplicity 4)

Properties
- Energy of formation: -155 meV per atom
- Raw total energy: -0.14093 Ha/atom
- Calculated volume: 405.0 Å³/cell



(2)
Below is a geometry-optimized K2N2Cl structure, with properties calculated at the PBE level.

a b c (Å): 7.7789 7.7789 3.6749
angles (deg): 90.00 90.00 90.00
Space group P4/mbm (No. 127)
Asymmetric unit:
K 0.2277 0.2723 0.0000 (multiplicity 4)
N 0.0541 0.5541 0.5000 (multiplicity 4)
Cl 0.0000 0.0000 0.5000 (multiplicity 2)

Properties
- Formation energy (no corrections): -0.773 eV per atom
- Raw total energy: -0.18051 Ha/atom
- Calculated volume: 222.4 Å³/cell



(3)
Below is a geometry-optimized RbCrS3 structure, with properties calculated at the PBE level.

a b c (Å): 4.6504 4.6504 4.6504
angles (deg): 90.00 90.00 90.00
Space group Pm-3m (No. 221)
Asymmetric unit:
Rb 0.0000 0.0000 0.0000 (multiplicity 1)
Cr 0.5000 0.5000 0.5000 (multiplicity 1)
S 0.0000 0.5000 0.5000 (multiplicity 3)

Properties
- Formation energy (no corrections): -0.338 eV per atom
- Raw total energy: -0.18129 Ha/atom
- Calculated volume: 100.6 Å³/cell



(4)
Below is a geometry-optimized ZnTe structure, with properties calculated at the PBE level.

a b c (Å): 5.7671 5.7671 5.7671
angles (deg): 90.00 90.00 90.00
Space group Fm-3m (No. 225)
Asymmetric unit:
Zn 0.0000 0.0000 0.0000 (multiplicity 4)
Te 0.0000 0.0000 0.5000 (multiplicity 4)

Properties
- Formation energy (no corrections): -0.178 eV per atom
- Raw total energy: -0.08769 Ha/atom
- Calculated volume: 191.8 Å³/cell



(5)
Below is a geometry-optimized Mg4Sb2H structure, with properties calculated at the PBE level.

a b c (Å): 4.3421 4.3421 15.2934
angles (deg): 90.00 90.00 90.00
Space group I4/mmm (No. 139)
Asymmetric unit:
Mg 0.0000 0.0000 0.1713 (multiplicity 4)
Mg 0.0000 0.5000 0.0000 (multiplicity 4)
Sb 0.0000 0.0000 0.3623 (multiplicity 4)
H 0.0000 0.0000 0.0000 (multiplicity 2)

Properties
- Raw total energy: -0.10371 Ha/atom
- Calculated volume: 288.3 Å³/cell



(6)
Below is a geometry-optimized As2RuBr structure, with properties calculated at the PBE level.

a b c (Å): 6.2403 6.2403 11.3751
angles (deg): 90.00 90.00 90.00
Space group I-42d (No. 122)
Asymmetric unit:
As 0.1504 0.2500 0.1250 (multiplicity 8)
Ru 0.0000 0.0000 0.0000 (multiplicity 4)
Br 0.0000 0.0000 0.5000 (multiplicity 4)

Properties
- Formation energy (no corrections): 0.172 eV per atom
- Raw total energy: -0.17969 Ha/atom
- Calculated volume: 443.0 Å³/cell



(7)
Below is a geometry-optimized Ba2AsN2 structure, with properties calculated at the PBE level.

a b c (Å): 14.6497 4.8547 8.3149
angles (deg): 90.00 102.10 90.00
Space group C2/c (No. 15)
Asymmetric unit:
Ba 0.1201 0.2355 0.1275 (multiplicity 8)
As 0.0000 0.2670 0.7500 (multiplicity 4)
N 0.2373 0.3413 0.5370 (multiplicity 8)

Properties
- Formation energy (no corrections): -0.670 eV per atom
- Raw total energy: -0.20943 Ha/atom
- Calculated volume: 578.2 Å³/cell



Short version: spin magnetization = 0.0, 2.0, 0.0, 0.0, 0.0, 0.0, 2.7 μB/cell, in the order given.